[1]
ZnOsSe3: optimized geometry, PBE.

Calculated volume in Å³ per cell: 105
Formation energy from raw total energies in eV/f.u.: 6.99
Space-group type: Pm-3m
Spin magnetization in μB per atom: 0.000
Crystal system: cubic
Calculated total energy in eV per formula unit: -15.96

Cell lengths 4.717, 4.717, 4.717 Å; angles 90.00, 90.00, 90.00 degrees
Fractional coordinates of all 5 atoms:
Zn  0.000  0.000  0.000
Os  0.500  0.500  0.500
Se  0.000  0.500  0.000
Se  0.000  0.000  0.500
Se  0.500  0.000  0.000

***

[2]
ZnOs3Se: optimized geometry, PBE.

Calculated volume in Å³ per cell: 92
Formation energy from raw total energies in eV/f.u.: 11.60
Space-group type: Pm-3m
Spin magnetization in μB per atom: 0.000
Crystal system: cubic
Calculated total energy in eV per formula unit: -26.85

Cell lengths 4.520, 4.520, 4.520 Å; angles 90.00, 90.00, 90.00 degrees
Fractional coordinates of all 5 atoms:
Zn  0.000  0.000  0.000
Os  0.000  0.500  0.000
Os  0.000  0.000  0.500
Os  0.500  0.000  0.000
Se  0.500  0.500  0.500

***

[3]
ZnOsSe: optimized geometry, PBE.

Calculated volume in Å³ per cell: 53
Formation energy from raw total energies in eV/f.u.: 1.64
Space-group type: Fmm2
Spin magnetization in μB per atom: 0.000
Crystal system: orthorhombic
Calculated total energy in eV per formula unit: -14.35

Cell lengths 7.821, 7.545, 2.894 Å; angles 84.59, 73.80, 21.61 degrees
Fractional coordinates of all 3 atoms:
Os  0.004  0.004  0.996
Se  0.640  0.640  0.360
Zn  0.355  0.355  0.645

***

[4]
ZnOsSe: optimized geometry, PBE.

Calculated volume in Å³ per cell: 48
Formation energy from raw total energies in eV/f.u.: 1.60
Space-group type: P-6m2
Spin magnetization in μB per atom: 0.000
Crystal system: hexagonal
Calculated total energy in eV per formula unit: -14.39

Cell lengths 4.270, 4.270, 3.068 Å; angles 90.00, 90.00, 120.00 degrees
Fractional coordinates of all 3 atoms:
Os  0.000  0.000  0.167
Se  0.667  0.333  0.167
Zn  0.333  0.667  0.667

***

[5]
Zr4OsSe: optimized geometry, PBE.

Calculated volume in Å³ per cell: 123
Formation energy from raw total energies in eV/f.u.: 3.09
Space-group type: F-43m
Spin magnetization in μB per atom: 0.000
Crystal system: cubic
Calculated total energy in eV per formula unit: -45.81

Cell lengths 5.586, 5.586, 5.586 Å; angles 60.00, 60.00, 60.00 degrees
Fractional coordinates of all 6 atoms:
Zr  0.871  0.376  0.376
Zr  0.376  0.376  0.871
Zr  0.376  0.871  0.376
Zr  0.376  0.376  0.376
Os  0.750  0.750  0.750
Se  0.000  0.000  0.000

***

[6]
Zr2OsSe: optimized geometry, PBE.

Calculated volume in Å³ per cell: 75
Formation energy from raw total energies in eV/f.u.: -1.83
Space-group type: Pmmm
Spin magnetization in μB per atom: 0.000
Crystal system: orthorhombic
Calculated total energy in eV per formula unit: -33.64

Cell lengths 4.585, 5.027, 3.254 Å; angles 90.00, 90.00, 90.00 degrees
Fractional coordinates of all 4 atoms:
Os  0.500  0.000  0.500
Se  0.000  0.500  0.500
Zr  0.000  0.000  0.000
Zr  0.500  0.500  0.000

***

[7]
ZrOsSe3: optimized geometry, PBE.

Calculated volume in Å³ per cell: 139
Formation energy from raw total energies in eV/f.u.: 4.09
Space-group type: Pm-3m
Spin magnetization in μB per atom: 0.896
Crystal system: cubic
Calculated total energy in eV per formula unit: -26.14

Cell lengths 5.182, 5.182, 5.182 Å; angles 90.00, 90.00, 90.00 degrees
Fractional coordinates of all 5 atoms:
Os  0.500  0.500  0.500
Se  0.000  0.500  0.000
Se  0.000  0.000  0.500
Se  0.500  0.000  0.000
Zr  0.000  0.000  0.000

***

[8]
ZrOs3Se: optimized geometry, PBE.

Calculated volume in Å³ per cell: 94
Formation energy from raw total energies in eV/f.u.: 5.82
Space-group type: Pm-3m
Spin magnetization in μB per atom: 0.000
Crystal system: cubic
Calculated total energy in eV per formula unit: -39.90

Cell lengths 4.540, 4.540, 4.540 Å; angles 90.00, 90.00, 90.00 degrees
Fractional coordinates of all 5 atoms:
Os  0.000  0.500  0.000
Os  0.000  0.000  0.500
Os  0.500  0.000  0.000
Se  0.000  0.000  0.000
Zr  0.500  0.500  0.500

***

[9]
ZrOsSe3: optimized geometry, PBE.

Calculated volume in Å³ per cell: 113
Formation energy from raw total energies in eV/f.u.: 2.22
Space-group type: Pm-3m
Spin magnetization in μB per atom: 0.000
Crystal system: cubic
Calculated total energy in eV per formula unit: -28.01

Cell lengths 4.839, 4.839, 4.839 Å; angles 90.00, 90.00, 90.00 degrees
Fractional coordinates of all 5 atoms:
Os  0.000  0.000  0.000
Se  0.000  0.500  0.000
Se  0.000  0.000  0.500
Se  0.500  0.000  0.000
Zr  0.500  0.500  0.500

***

[10]
Zr2OsSe: optimized geometry, PBE.

Calculated volume in Å³ per cell: 85
Formation energy from raw total energies in eV/f.u.: 0.19
Space-group type: R3m
Spin magnetization in μB per atom: 0.110
Crystal system: trigonal
Calculated total energy in eV per formula unit: -31.62

Cell lengths 8.837, 8.837, 8.837 Å; angles 21.99, 21.99, 21.99 degrees
Fractional coordinates of all 4 atoms:
Os  0.504  0.504  0.504
Se  0.748  0.748  0.748
Zr  0.010  0.010  0.010
Zr  0.238  0.238  0.238

***

[11]
ZrOs3Se: optimized geometry, PBE.

Calculated volume in Å³ per cell: 118
Formation energy from raw total energies in eV/f.u.: 13.16
Space-group type: Pm-3m
Spin magnetization in μB per atom: 0.981
Crystal system: cubic
Calculated total energy in eV per formula unit: -32.57

Cell lengths 4.908, 4.908, 4.908 Å; angles 90.00, 90.00, 90.00 degrees
Fractional coordinates of all 5 atoms:
Os  0.000  0.500  0.000
Os  0.000  0.000  0.500
Os  0.500  0.000  0.000
Se  0.500  0.500  0.500
Zr  0.000  0.000  0.000

***

[12]
Zr2OsSe: optimized geometry, PBE.

Calculated volume in Å³ per cell: 76
Formation energy from raw total energies in eV/f.u.: -1.77
Space-group type: Imm2
Spin magnetization in μB per atom: 0.000
Crystal system: orthorhombic
Calculated total energy in eV per formula unit: -33.58

Cell lengths 5.817, 5.817, 5.817 Å; angles 145.21, 137.18, 56.31 degrees
Fractional coordinates of all 4 atoms:
Os  0.497  0.497  0.000
Se  0.284  0.784  0.500
Zr  0.993  0.993  0.000
Zr  0.726  0.226  0.500

***

[13]
Zr3OsSe: optimized geometry, PBE.

Calculated volume in Å³ per cell: 130
Formation energy from raw total energies in eV/f.u.: 0.99
Space-group type: Pm-3m
Spin magnetization in μB per atom: 0.000
Crystal system: cubic
Calculated total energy in eV per formula unit: -39.37

Cell lengths 5.069, 5.069, 5.069 Å; angles 90.00, 90.00, 90.00 degrees
Fractional coordinates of all 5 atoms:
Os  0.000  0.000  0.000
Se  0.500  0.500  0.500
Zr  0.000  0.500  0.000
Zr  0.000  0.000  0.500
Zr  0.500  0.000  0.000

***

[14]
Zr2OsSe: optimized geometry, PBE.

Calculated volume in Å³ per cell: 74
Formation energy from raw total energies in eV/f.u.: -2.00
Space-group type: Cmmm
Spin magnetization in μB per atom: 0.000
Crystal system: orthorhombic
Calculated total energy in eV per formula unit: -33.81

Cell lengths 4.797, 4.797, 3.292 Å; angles 90.00, 90.00, 102.32 degrees
Fractional coordinates of all 4 atoms:
Os  0.500  0.000  0.500
Se  0.000  0.500  0.500
Zr  0.000  0.000  0.000
Zr  0.500  0.500  0.000

***

[15]
Zr2OsSe: optimized geometry, PBE.

Calculated volume in Å³ per cell: 84
Formation energy from raw total energies in eV/f.u.: -2.26
Space-group type: C2/m
Spin magnetization in μB per atom: 0.000
Crystal system: monoclinic
Calculated total energy in eV per formula unit: -34.07

Cell lengths 3.725, 3.725, 7.315 Å; angles 75.19, 75.19, 60.12 degrees
Fractional coordinates of all 4 atoms:
Os  0.250  0.250  0.250
Se  0.750  0.750  0.750
Zr  0.992  0.992  0.024
Zr  0.508  0.508  0.476

***

[16]
Zr2OsSe: optimized geometry, PBE.

Calculated volume in Å³ per cell: 76
Formation energy from raw total energies in eV/f.u.: -2.52
Space-group type: P4/mmm
Spin magnetization in μB per atom: 0.000
Crystal system: tetragonal
Calculated total energy in eV per formula unit: -34.33

Cell lengths 3.229, 3.229, 7.252 Å; angles 90.00, 90.00, 90.01 degrees
Fractional coordinates of all 4 atoms:
Os  0.500  0.500  0.250
Se  0.500  0.500  0.750
Zr  0.000  0.000  0.016
Zr  0.000  0.000  0.484

***

[17]
Zr2OsSe: optimized geometry, PBE.

Calculated volume in Å³ per cell: 76
Formation energy from raw total energies in eV/f.u.: -2.38
Space-group type: Cm
Spin magnetization in μB per atom: 0.000
Crystal system: monoclinic
Calculated total energy in eV per formula unit: -34.19

Cell lengths 5.395, 5.395, 4.508 Å; angles 84.85, 84.85, 35.77 degrees
Fractional coordinates of all 4 atoms:
Os  0.526  0.526  0.348
Se  0.718  0.718  0.903
Zr  0.989  0.989  0.846
Zr  0.266  0.266  0.403

***

[18]
Zr2OsSe: optimized geometry, PBE.

Calculated volume in Å³ per cell: 76
Formation energy from raw total energies in eV/f.u.: -2.52
Space-group type: P2/m
Spin magnetization in μB per atom: 0.000
Crystal system: monoclinic
Calculated total energy in eV per formula unit: -34.33

Cell lengths 3.252, 3.232, 7.638 Å; angles 71.55, 90.00, 90.00 degrees
Fractional coordinates of all 4 atoms:
Os  0.500  0.250  0.250
Se  0.500  0.750  0.750
Zr  0.000  0.949  0.017
Zr  0.000  0.551  0.483

***

[19]
Zr2OsSe: optimized geometry, PBE.

Calculated volume in Å³ per cell: 76
Formation energy from raw total energies in eV/f.u.: -1.44
Space-group type: Immm
Spin magnetization in μB per atom: 0.000
Crystal system: orthorhombic
Calculated total energy in eV per formula unit: -33.25

Cell lengths 4.910, 4.910, 4.910 Å; angles 130.93, 117.14, 83.61 degrees
Fractional coordinates of all 4 atoms:
Os  0.750  0.250  0.500
Se  0.250  0.750  0.500
Zr  0.997  0.997  0.000
Zr  0.503  0.503  0.000

***

[20]
Zr2OsSe: optimized geometry, PBE.

Calculated volume in Å³ per cell: 81
Formation energy from raw total energies in eV/f.u.: -1.93
Space-group type: Pmm2
Spin magnetization in μB per atom: 0.000
Crystal system: orthorhombic
Calculated total energy in eV per formula unit: -33.74

Cell lengths 3.396, 4.329, 5.515 Å; angles 90.00, 90.00, 90.00 degrees
Fractional coordinates of all 4 atoms:
Os  0.000  0.000  0.382
Se  0.500  0.500  0.849
Zr  0.000  0.000  0.915
Zr  0.500  0.500  0.354